Cs2YZn2S4 | Alexandria | PBE | relaxed; N(E_F) = 4.0 states/eV/cell; E_tot = -0.1537 Ha/atom; symmetry = C2/m, No. 12; ΔE_f (raw) = -1.1572 eV/atom
1.0
3.9586 0.0000 0.0000
0.0000 8.3850 0.1179
-1.9793 -3.2048 7.4938
Zn S Cs Y
2 4 2 1
Cartesian
1.9793 -0.9757 2.6833
0.0000 6.1560 4.9285
1.9793 4.7529 4.8660
0.0000 0.4274 2.7458
1.9793 6.4986 0.6079
0.0000 -1.3184 7.0038
0.0000 3.8770 2.0169
1.9793 1.3032 5.5948
0.0000 0.0000 0.0000

CsY2ZnS | Alexandria | PBE | relaxed; N(E_F) = 7.6 states/eV/cell; E_tot = -0.1492 Ha/atom; symmetry = P4/mmm, No. 123; ΔE_f (raw) = -0.2239 eV/atom
1.0
-4.9720 -1.6637 0.5341
-0.2622 -1.2690 -6.3944
1.7345 -4.8944 0.9002
S Y Zn Cs
1 2 1 1
Cartesian
0.0000 0.0000 0.0000
0.8672 -2.4472 0.4501
-2.4860 -0.8319 0.2670
-1.7499 -3.9136 -2.4801
-0.1311 -0.6345 -3.1972

Cs4Y3ZrS8 | Alexandria | PBE | relaxed; N(E_F) = 5.1 states/eV/cell; E_tot = -0.2109 Ha/atom; symmetry = R-3m, No. 166; ΔE_f (raw) = -1.7155 eV/atom
1.0
-5.0065 -3.2355 -5.4483
3.6718 -8.4094 1.6199
-2.9880 3.8256 6.4590
Cs Y S Zr
4 3 8 1
Cartesian
-2.5033 -1.6177 -2.7242
0.0000 0.0000 0.0000
-1.4940 1.9128 3.2295
-3.9972 0.2951 0.5053
0.3419 -2.2919 4.0394
-2.1613 -3.9096 1.3152
-0.6674 -5.8224 -1.9142
-2.4968 -6.3604 0.0863
0.0799 -4.7492 2.7469
-4.0769 -4.4421 3.2723
-4.4025 -3.0700 -0.1165
-2.8489 -5.0594 -3.4747
-0.2458 -3.3771 -0.6418
-1.4738 -2.7599 6.1052
-1.8259 -1.4588 2.5442
1.8359 -4.2047 0.8099

CsYZrS4 | Alexandria | PBE | relaxed; N(E_F) = 0.0 states/eV/cell; E_tot = -0.2301 Ha/atom; symmetry = P2_1/m, No. 11; ΔE_f (raw) = -1.6369 eV/atom
1.0
-5.0786 4.2216 -2.2580
-4.1356 -2.1317 5.3164
5.7720 4.6693 6.3623
Y Cs S Zr
2 2 8 2
Cartesian
-4.5660 3.9208 5.0614
1.1237 2.8385 4.3593
-2.1529 0.8798 1.0251
-1.2894 5.8795 8.3956
1.8583 2.1160 6.9845
-5.3005 4.6433 2.4361
-7.3652 3.5791 5.0903
-2.2999 3.2645 6.5610
3.9230 3.1802 4.3304
-1.1423 3.4948 2.8597
-4.3084 1.2488 4.1904
0.8662 5.5104 5.2303
-2.3886 1.1058 5.6264
-1.0537 5.6535 3.7942

Cs3Y3ZrS8 | Alexandria | PBE | relaxed; N(E_F) = 0.0 states/eV/cell; E_tot = -0.2219 Ha/atom; symmetry = R-3m, No. 166; ΔE_f (raw) = -1.8044 eV/atom
1.0
7.9979 -0.0002 -0.0001
-3.9991 6.9279 -0.0279
0.0001 -4.5880 8.2374
S Y Cs Zr
8 3 3 1
Cartesian
1.8999 -1.2027 2.6712
-2.0992 3.5425 5.5382
-0.0001 -0.0938 5.5529
2.0989 3.5424 5.5382
-0.0001 2.3188 2.6129
6.0980 -1.2028 2.6712
3.9989 2.4335 2.6565
3.9989 0.0209 5.5965
3.9990 -2.2941 4.1187
1.9994 1.1699 4.1047
-1.9995 1.1700 4.1047
-1.9996 3.4640 -0.0140
1.9994 3.4639 -0.0140
0.0000 0.0000 0.0000
0.0000 -2.2940 4.1187

Cs3Y2ZrS6 | Alexandria | PBE | relaxed; N(E_F) = 4.0 states/eV/cell; E_tot = -0.2111 Ha/atom; symmetry = C2/m, No. 12; ΔE_f (raw) = -1.6774 eV/atom
1.0
-4.5802 -1.5499 -4.9867
-1.0706 -2.1941 6.5029
-2.1763 8.0355 1.1153
S Y Cs Zr
6 2 3 1
Cartesian
-6.7491 3.7640 0.2590
-4.5841 -1.3118 1.3267
-1.0780 0.5274 2.3725
-3.2430 5.6032 1.3048
-5.6272 3.5580 3.9320
-2.2000 0.7334 -1.3005
-3.4099 -1.7648 -1.1552
-2.2410 -1.9793 2.6714
-2.7503 1.9322 5.1240
-3.9136 2.1457 1.3157
-5.0768 2.3592 -2.4925
0.0000 0.0000 0.0000

Cs2Y2ZrS6 | Alexandria | PBE | relaxed; N(E_F) = 0.0 states/eV/cell; E_tot = -0.2262 Ha/atom; symmetry = C2/m, No. 12; ΔE_f (raw) = -1.7957 eV/atom
1.0
-6.0187 -2.5619 -1.9871
1.4159 0.5505 6.6655
-1.6755 8.2740 -1.5365
Cs S Y Zr
2 6 2 1
Cartesian
-4.7633 -2.0363 -0.5260
0.1605 0.0249 5.2044
-0.9658 5.6537 1.3581
-5.3125 0.6089 1.7838
-3.3230 4.6669 -1.3853
-2.9553 1.5957 4.5272
-4.5577 4.0968 2.4425
-1.7207 2.1658 0.6994
-1.8996 3.6502 3.0136
-4.3787 2.6124 0.1283
-0.8378 4.1370 -0.7683

Cs2Zn2S3 | Alexandria | PBE | relaxed; N(E_F) = 3.7 states/eV/cell; distance to the lowest polymorph of the same formula = 250.0 meV/atom; E_tot = -0.1129 Ha/atom; symmetry = C2/m, No. 12; ΔE_f (raw) = -0.6947 eV/atom
1.0
-1.2721 -4.2820 1.0807
-0.5468 -4.3625 -8.1563
9.6324 -5.1061 0.8783
S Zn Cs
6 4 4
Cartesian
-0.2788 -4.6125 0.9405
3.5787 -7.2333 -4.9033
8.0923 -9.1382 -7.1378
4.2349 -6.5173 -1.2940
2.0050 -3.9503 -3.5196
5.8085 -9.8004 -2.6777
2.3620 -9.0962 -3.9443
5.4516 -4.6545 -2.2530
2.3175 -6.3249 -2.7883
5.4961 -7.4258 -3.4090
-0.6617 -6.0693 -5.2821
5.1166 -10.4571 -6.0941
2.6969 -3.2936 -0.1032
8.4752 -7.6814 -0.9153

Cs3Zn2S4 | Alexandria | PBE | relaxed; N(E_F) = 18.2 states/eV/cell; E_tot = -0.1206 Ha/atom; symmetry = C2/c, No. 15; ΔE_f (raw) = -0.8791 eV/atom
1.0
-2.0750 -1.9138 6.1720
7.1524 -6.4758 -0.0950
8.0595 4.0183 3.4640
Cs S Zn
6 8 4
Cartesian
0.8113 -2.7479 3.3145
5.9486 -3.8336 5.9169
12.3256 -1.6235 6.2265
11.0489 -5.3486 8.3737
7.1883 -0.5378 3.6241
2.0881 0.9773 1.1673
9.9260 -2.4083 2.8887
4.1605 -2.0228 3.2215
8.9764 -2.3486 6.3195
3.2109 -1.9631 6.6524
4.7283 1.4380 5.1993
8.4086 -5.8094 4.3417
10.0022 1.5798 3.4371
3.1348 -5.9512 6.1039
8.9832 -2.2778 8.7644
9.7942 -3.9420 4.7894
4.1537 -2.0935 0.7766
3.3428 -0.4293 4.7516

CsZn2S2 | Alexandria | PBE | relaxed; N(E_F) = 2.0 states/eV/cell; distance to the lowest polymorph of the same formula = 0.0 meV/atom; E_tot = -0.1078 Ha/atom; symmetry = I4/mmm, No. 139; ΔE_f (raw) = -0.6026 eV/atom
1.0
4.4411 0.0000 0.0000
0.0000 4.4411 0.0000
2.2205 2.2205 6.6826
Zn S Cs
2 2 1
Cartesian
2.2205 4.4411 3.3413
4.4411 2.2205 3.3413
4.4411 4.4411 4.4710
2.2205 2.2205 2.2116
0.0000 0.0000 0.0000